No. 1
A relaxed YSi3Ru crystal, computed with PBE.

Output
ΔE_f (raw) (eV per formula unit): 9.1
E_tot (eV/atom): -4.57
ρ (g/cm3): 3.39

Lattice parameters (Å, degrees): 5.121 5.121 5.121 90.00 90.00 90.00
Space group Pm-3m (No. 221)
Symmetry-distinct sites (fractional):
Y1 0.000 0.000 0.000 (multiplicity 1)
Si1 0.000 0.000 0.500 (multiplicity 3)
Ru1 0.500 0.500 0.500 (multiplicity 1)


No. 2
A relaxed NdTmI2 crystal, computed with PBE.

Output
ΔE_f (raw) (eV per formula unit): -2.8
E_tot (eV/atom): -3.77
ρ (g/cm3): 6.68

Lattice parameters (Å, degrees): 3.8943 3.8943 32.2093 90.00 90.00 120.00
Space group R-3m (No. 166, hexagonal axes)
Symmetry-distinct sites (fractional):
Nd1 0.0000 0.0000 0.0000 (multiplicity 3)
Tm1 0.0000 0.0000 0.5000 (multiplicity 3)
I1 0.0000 0.0000 0.4053 (multiplicity 6)


No. 3
A relaxed BiRu crystal, computed with PBE.

Output
E_tot (eV/atom): -6.06
Energy of formation (eV per atom): 0.52
ρ (g/cm3): 12.71

Lattice parameters (Å, degrees): 3.324 15.787 4.630 90.00 90.00 90.00
Space group Pmmn (No. 59, origin choice 2)
Symmetry-distinct sites (fractional):
Bi1 0.250 0.087 0.104 (multiplicity 4)
Bi2 0.250 0.750 0.577 (multiplicity 2)
Ru1 0.250 0.250 0.897 (multiplicity 2)
Ru2 0.250 0.573 0.396 (multiplicity 4)


No. 4
A relaxed LiTiGa2 crystal, computed with PBE.

Output
E_tot (eV/atom): -4.34
Energy of formation (eV per atom): -0.37
ρ (g/cm3): 5.31

Lattice parameters (Å, degrees): 3.000 3.000 6.743 90.00 90.00 90.00
Space group P4/mmm (No. 123)
Symmetry-distinct sites (fractional):
Li1 0.000 0.000 0.000 (multiplicity 1)
Ti1 0.000 0.000 0.500 (multiplicity 1)
Ga1 0.500 0.500 0.234 (multiplicity 2)


No. 5
A relaxed RbPd2Pb2 crystal, computed with PBE.

Output
E_tot (eV/atom): -3.83
Energy of formation (eV per atom): -0.08
ρ (g/cm3): 9.38

Lattice parameters (Å, degrees): 8.801 8.801 3.258 90.00 90.00 90.00
Space group P4/mbm (No. 127)
Symmetry-distinct sites (fractional):
Rb1 0.000 0.000 0.000 (multiplicity 2)
Pd1 0.152 0.348 0.500 (multiplicity 4)
Pb1 0.132 0.632 0.000 (multiplicity 4)


No. 6
A relaxed CoHgMoS2 crystal, computed with PBE.

Output
ΔE_f (raw) (eV per formula unit): 2.3
E_tot (eV/atom): -4.83
ρ (g/cm3): 6.57

Lattice parameters (Å, degrees): 4.621 4.621 4.965 90.00 90.00 90.00
Space group P4/mmm (No. 123)
Symmetry-distinct sites (fractional):
Co1 0.000 0.000 0.000 (multiplicity 1)
Hg1 0.500 0.500 0.000 (multiplicity 1)
Mo1 0.000 0.000 0.500 (multiplicity 1)
S1 0.000 0.500 0.500 (multiplicity 2)